Here is a relaxed structure of Pr2Te3F from Alexandria. Energies are from PBE-GGA.

a b c (Å): 12.0758 4.3111 13.2847
angles (deg): 90.00 90.00 90.00
With the nearest neighbours (Å) after each atom.
Space group Pnma (No. 62)
Symmetry-distinct sites (fractional):
Pr: 0.0566 0.2500 0.1729 (multiplicity 4)  2 F 2.44
Pr: 0.1952 0.2500 0.5175 (multiplicity 4)  1 F 2.50
Te: 0.0648 0.7500 0.3764 (multiplicity 4)  5 Pr 3.26-3.46, 1 F 3.43
Te: 0.1225 0.2500 0.9311 (multiplicity 4)  3 F 3.22-3.38, 5 Pr 3.29-3.35
Te: 0.1709 0.7500 0.6951 (multiplicity 4)  4 Pr 3.21-3.30, 2 F 3.30
F: 0.1360 0.7500 0.1269 (multiplicity 4)  3 Pr 2.44-2.50

Summary:
- VASP energy: -5.31 eV per atom
- Density of states at the Fermi level: 2.97 states/eV/f.u.

=====

Here is a relaxed structure of Pr2Te2F from Alexandria. Energies are from PBE-GGA.

a b c (Å): 20.9046 4.5266 7.9773
angles (deg): 90.00 96.01 90.00
With the nearest neighbours (Å) after each atom.
Space group C2/m (No. 12)
Symmetry-distinct sites (fractional):
Pr: 0.1656 0.0000 0.4126 (multiplicity 4)  1 F 2.38
Pr: 0.1727 0.5000 0.8789 (multiplicity 4)  1 F 2.62
Te: 0.0867 0.0000 0.7154 (multiplicity 4)  3 Pr 3.06-3.09
Te: 0.1001 0.5000 0.1984 (multiplicity 4)  3 Pr 3.07-3.10
F: 0.2208 0.5000 0.5883 (multiplicity 4)  2 Pr 2.38-2.62

Summary:
- Density of states at the Fermi level: 1.19 states/eV/f.u.
- ΔE to the lowest computed polymorph: 212.6 meV per atom

=====

Here is a relaxed structure of Pr2TeF3 from Alexandria. Energies are from PBE-GGA.

a b c (Å): 15.4670 4.0945 8.2077
angles (deg): 90.00 113.14 90.00
With the nearest neighbours (Å) after each atom.
Space group C2/m (No. 12)
Symmetry-distinct sites (fractional):
Pr: 0.0281 0.0000 0.2312 (multiplicity 4)  4 F 2.45-2.56
Pr: 0.1971 0.5000 0.6822 (multiplicity 4)  6 F 2.38-2.66
Te: 0.1372 0.5000 0.0538 (multiplicity 4)  7 Pr 3.33-3.52, 5 F 3.52-3.73
F: 0.0621 0.5000 0.4100 (multiplicity 4)  3 Pr 2.38-2.45
F: 0.1081 0.0000 0.6863 (multiplicity 4)  3 Pr 2.45-2.47, 1 F 2.58
F: 0.1944 0.0000 0.4732 (multiplicity 4)  4 Pr 2.48-2.66, 3 F 2.58-2.60

Summary:
- VASP energy: -6.12 eV per atom
- Density of states at the Fermi level: 1.93 states/eV/f.u.

=====

Here is a relaxed structure of PrTeF from Alexandria. Energies are from PBE-GGA.

a b c (Å): 3.6359 3.6359 10.7975
angles (deg): 90.00 90.00 90.00
With the nearest neighbours (Å) after each atom.
Space group I4mm (No. 107)
Symmetry-distinct sites (fractional):
Pr: 0.0000 0.0000 0.0000 (multiplicity 2)  4 F 2.70
Te: 0.0000 0.0000 0.3060 (multiplicity 2)  1 F 2.91
F: 0.0000 0.0000 0.5760 (multiplicity 2)  4 Pr 2.70, 1 Te 2.91

Summary:
- VASP energy: -5.36 eV per atom
- Density of states at the Fermi level: 1.17 states/eV/f.u.

=====

Here is a relaxed structure of PrTeF from Alexandria. Energies are from PBE-GGA.

a b c (Å): 4.1766 8.7411 9.7702
angles (deg): 90.00 90.00 90.00
With the nearest neighbours (Å) after each atom.
Space group Amm2 (No. 38)
Symmetry-distinct sites (fractional):
Pr: 0.0000 0.2321 0.0000 (multiplicity 4)  2 F 2.29
Te: 0.0000 0.0000 0.2620 (multiplicity 2)  4 Pr 3.27-3.30
Te: 0.5000 0.0000 0.8529 (multiplicity 2)  4 Pr 3.25, 4 F 3.31-3.44
F: 0.5000 0.1771 0.5534 (multiplicity 4)  2 Pr 2.29

Summary:
- VASP energy: -5.65 eV per atom
- Density of states at the Fermi level: 0.16 states/eV/f.u.

=====

Here is a relaxed structure of PrTeF from Alexandria. Energies are from PBE-GGA.

a b c (Å): 4.2840 4.2840 4.4875
angles (deg): 90.00 90.00 120.00
With the nearest neighbours (Å) after each atom.
Space group P-6m2 (No. 187)
Symmetry-distinct sites (fractional):
Pr: 0.0000 0.0000 0.0000 (multiplicity 1)  3 F 2.47
Te: 0.3333 0.6667 0.5000 (multiplicity 1)  6 Pr 3.34, 6 F 3.34
F: 0.6667 0.3333 0.0000 (multiplicity 1)  3 Pr 2.47

Summary:
- VASP energy: -5.90 eV per atom